Hf4TiIn3: relaxed, PBE.

a = 3.0853 Å, b = 3.0853 Å, c = 17.9334 Å
α = 90.00°, β = 90.00°, γ = 90.00°
Space group P4/mmm (No. 123)
One atom of each set of equivalent atoms:
Hf 0.0000 0.0000 0.1154 x2
Hf 0.0000 0.0000 0.3758 x2
Ti 0.5000 0.5000 0.0000 x1
In 0.5000 0.5000 0.2483 x2
In 0.5000 0.5000 0.5000 x1

Values from the calculation:
ΔE_f   -118.8 meV per atom
Energy   -56.87 eV for the cell shown
Crystal system   tetragonal
Total magnetic moment   0.000 μB per cell
Energy relative to the lowest polymorph listed for this composition   0.0000 eV per atom